(1)
Computed, not measured: Ag2IrC after structural relaxation at the GGA-PBE level of DFT.

- Calculated volume: 147 Å³/cell
- Space group: I-42d, No. 122
- Magnetic moment: 0.0 Bohr magnetons per cell
- Density: 9.52 g cm⁻³
- ΔE_f: 2.051 eV per atom
- Total DFT energy (no corrections): -3.90 eV per atom

a b c (Å): 7.2360 7.2360 7.2360
angles (deg): 141.37 141.37 55.78
Positions (direct):
Ag  0.0127  0.6250  0.8877
Ag  0.3750  0.2627  0.3877
Ag  0.7373  0.1250  0.1123
Ag  0.8750  0.9873  0.6123
Ir  0.2500  0.7500  0.5000
Ir  0.5000  0.5000  0.0000
C  0.0000  0.0000  0.0000
C  0.7500  0.2500  0.5000

---

(2)
Computed, not measured: SrCrPt2 after structural relaxation at the GGA-PBE level of DFT.

- Calculated volume: 82 Å³/cell
- Space group: Cm, No. 8
- Magnetic moment: 3.9 Bohr magnetons per cell
- Density: 10.69 g cm⁻³
- ΔE_f: -0.109 eV per atom
- Polymorph energy (0 for the lowest one): 0.322 eV/atom
- Total DFT energy (no corrections): -5.96 eV per atom

a b c (Å): 5.1890 5.1890 5.5314
angles (deg): 101.15 101.15 34.35
Positions (direct):
Sr  0.0000  0.0000  0.0000
Cr  0.2089  0.2089  0.6013
Pt  0.4871  0.4871  0.5160
Pt  0.7607  0.7607  0.2494

---

(3)
Computed, not measured: PmDyPuIn after structural relaxation at the GGA-PBE level of DFT.

- Calculated volume: 115 Å³/cell
- Space group: F-43m, No. 216
- Magnetic moment: 6.7 Bohr magnetons per cell
- Density: 9.62 g cm⁻³
- ΔE_f: 0.012 eV per atom
- Total DFT energy (no corrections): -6.59 eV per atom

a b c (Å): 5.4584 5.4584 5.4584
angles (deg): 60.00 60.00 60.00
Positions (direct):
Pm  0.0000  0.0000  0.0000
Dy  0.7500  0.7500  0.7500
Pu  0.2500  0.2500  0.2500
In  0.5000  0.5000  0.5000

---

(4)
Computed, not measured: LaNd5Ho4 after structural relaxation at the GGA-PBE level of DFT.

- Calculated volume: 337 Å³/cell
- Space group: P4/mmm, No. 123
- Magnetic moment: 0.0 Bohr magnetons per cell
- Density: 7.48 g cm⁻³
- ΔE_f: 0.019 eV per atom
- Polymorph energy (0 for the lowest one): 0.003 eV/atom
- Total DFT energy (no corrections): -4.69 eV per atom

a b c (Å): 3.6417 3.6417 25.4432
angles (deg): 90.00 90.00 90.00
Positions (direct):
La  0.0000  0.0000  0.0000
Nd  0.5000  0.5000  0.1050
Nd  0.5000  0.5000  0.3030
Nd  0.5000  0.5000  0.5000
Nd  0.5000  0.5000  0.6970
Nd  0.5000  0.5000  0.8950
Ho  0.0000  0.0000  0.2043
Ho  0.0000  0.0000  0.4015
Ho  0.0000  0.0000  0.5985
Ho  0.0000  0.0000  0.7957